1.
Below is crystalline Re2TeOs at its relaxed geometry, with properties calculated at the GGA-PBE level.

Structure (POSCAR):
```
Re2TeOs
1.0
6.059 0.063 0.194
-2.345 4.404 -0.165
1.369 0.806 2.483
Os Re Te
1 2 1
Cartesian
1.857 2.233 0.015
0.000 0.000 0.000
3.714 0.435 1.339
-0.488 2.605 1.159
```

Values from the calculation:
**Final energy**: -35.62 eV for the cell shown

***

2.
Below is crystalline ReTeOs2 at its relaxed geometry, with properties calculated at the GGA-PBE level.

Structure (POSCAR):
```
ReTeOs2
1.0
4.117 0.000 0.000
0.000 2.884 0.008
0.000 1.709 5.549
Os Re Te
2 1 1
Cartesian
0.000 2.575 0.104
2.058 1.166 1.408
0.000 2.632 2.627
2.058 3.400 4.204
```

Values from the calculation:
**Final energy**: -34.98 eV for the cell shown

***

3.
Below is crystalline Re2TeOs at its relaxed geometry, with properties calculated at the GGA-PBE level.

Structure (POSCAR):
```
Re2TeOs
1.0
-1.189 -1.814 -3.520
2.447 -1.547 -0.029
-1.255 -4.769 2.881
Os Re Te
1 2 1
Cartesian
-0.214 -5.449 0.452
2.279 -1.479 -0.007
-0.115 -2.540 -1.080
1.097 -3.367 1.365
```

Values from the calculation:
**Final energy**: -36.48 eV for the cell shown

***

Number 1: size of the total moment 0.00 μB per atom. Number 2: size of the total moment 0.00 μB per atom. Number 3: size of the total moment 0.00 μB per atom.